# NdSm4Er PBE relaxed
# Size of the total moment   0.1 μB/cell
# Calculated total energy   -0.1632 hartree per atom
# Theoretical density   7.26 g/cm3
# Formation energy from the elements   0.260 eV/atom
# E above lowest polymorph   0.148 eV per atom
data_NdSm4Er
_cell_length_a 9.417
_cell_length_b 9.417
_cell_length_c 9.417
_cell_angle_alpha 90.00
_cell_angle_beta 90.00
_cell_angle_gamma 90.00
_space_group_name_H-M_alt 'F -4 3 m'
_space_group_IT_number 216
_space_group_name_Hall 'F -4 2 3'
loop_
_atom_site_label
_atom_site_fract_x
_atom_site_fract_y
_atom_site_fract_z
_atom_site_occupancy
Nd1 0.000 0.000 0.000 1
Sm1 0.124 0.124 0.376 1
Er1 0.250 0.250 0.750 1